Arrangement P

DFT (GGA-PBE) results for KTa3Os after structural relaxation.

Properties
Total moment   0.00 μB/f.u.

a b c (Å): 4.989 4.989 4.989
angles (deg): 90.00 90.00 90.00
Space group Pm-3m (No. 221)
Asymmetric unit:
K 0.000 0.000 0.000 (multiplicity 1)
Ta 0.000 0.500 0.500 (multiplicity 3)
Os 0.500 0.500 0.500 (multiplicity 1)

---

Arrangement Q

DFT (GGA-PBE) results for KTa3Os after structural relaxation.

Properties
Total moment   0.00 μB/f.u.

a b c (Å): 4.514 4.514 4.514
angles (deg): 90.00 90.00 90.00
Space group Pm-3m (No. 221)
Asymmetric unit:
K 0.000 0.000 0.000 (multiplicity 1)
Ta 0.000 0.000 0.500 (multiplicity 3)
Os 0.500 0.500 0.500 (multiplicity 1)

---

Which one sits at the bottom of the stability order? arrangement Q does.

---

Arrangement P

DFT (GGA-PBE) results for KTaOs after structural relaxation.

Properties
Total moment   0.00 μB/f.u.

a b c (Å): 6.460 6.460 6.460
angles (deg): 90.00 90.00 90.00
Space group F-43m (No. 216)
Asymmetric unit:
K 0.000 0.000 0.000 (multiplicity 4)
Ta 0.000 0.000 0.500 (multiplicity 4)
Os 0.250 0.250 0.750 (multiplicity 4)

---

Arrangement Q

DFT (GGA-PBE) results for KTaOs after structural relaxation.

Properties
Total moment   0.00 μB/f.u.

a b c (Å): 3.4326 3.4326 7.8152
angles (deg): 90.00 90.00 120.00
Space group P3m1 (No. 156)
Asymmetric unit:
K 0.0000 0.0000 0.0000 (multiplicity 1)
Ta 0.6667 0.3333 0.5583 (multiplicity 1)
Os 0.3333 0.6667 0.3714 (multiplicity 1)

---

Which one sits at the bottom of the stability order? arrangement P does.

---

Arrangement P

DFT (GGA-PBE) results for KTcOs3 after structural relaxation.

Properties
Total moment   0.52 μB/f.u.

a b c (Å): 4.772 4.772 4.772
angles (deg): 90.00 90.00 90.00
Space group Pm-3m (No. 221)
Asymmetric unit:
K 0.000 0.000 0.000 (multiplicity 1)
Tc 0.500 0.500 0.500 (multiplicity 1)
Os 0.000 0.500 0.500 (multiplicity 3)

---

Arrangement Q

DFT (GGA-PBE) results for KTcOs3 after structural relaxation.

Properties
Total moment   0.00 μB/f.u.

a b c (Å): 4.460 4.460 4.460
angles (deg): 90.00 90.00 90.00
Space group Pm-3m (No. 221)
Asymmetric unit:
K 0.000 0.000 0.000 (multiplicity 1)
Tc 0.500 0.500 0.500 (multiplicity 1)
Os 0.000 0.000 0.500 (multiplicity 3)

---

Which one sits at the bottom of the stability order? arrangement Q does.